A relaxed structure of Na3TiAu, computed with PBE.

excess energy over the best structure of this formula in the dataset: 0 meV per atom
density of states at the Fermi level: 10.52 states/eV per cell
size of the total moment: 0.10 μB/f.u.
energy of formation from the pure elements: 740 meV per atom

abc: 5.4785 5.4785 5.4785
angles: 90.00 90.00 90.00
Last column: nearest neighbours and their distance in Å.
Fractional positions:
Na  0.0000  0.5000  0.0000  2 Au 2.74
Na  0.0000  0.0000  0.5000  2 Au 2.74
Na  0.5000  0.0000  0.0000  2 Au 2.74
Au  0.0000  0.0000  0.0000  6 Na 2.74
Ti  0.5000  0.5000  0.5000  12 Na 3.87